Entry 1:
! Na3TlSn SCAN PBEsol geometry; values from VASP
&SYSTEM
  ibrav = 0, nat = 5, ntyp = 3
/
ATOMIC_SPECIES
Na 22.99 Na.upf
Tl 204.38 Tl.upf
Sn 118.71 Sn.upf
ATOMIC_POSITIONS crystal
Na 0.000 0.000 0.500
Na 0.000 0.500 0.000
Na 0.500 0.000 0.000
Tl 0.000 0.000 0.000
Sn 0.500 0.500 0.500
CELL_PARAMETERS angstrom
5.597 0.000 0.000
0.000 5.597 0.000
0.000 0.000 5.597
! Magnetization ... 0.00 μB per formula unit
! DFT formation energy ... 0.2651 eV per atom
! Total DFT energy (no corrections) ... -1.75807 Ry/atom
! Symmetry ... Pm-3m, No. 221

---

Entry 2:
! NaTl2Sn SCAN PBEsol geometry; values from VASP
&SYSTEM
  ibrav = 0, nat = 4, ntyp = 3
/
ATOMIC_SPECIES
Na 22.99 Na.upf
Tl 204.38 Tl.upf
Sn 118.71 Sn.upf
ATOMIC_POSITIONS crystal
Na 0.000 0.000 0.000
Tl 0.250 0.250 0.250
Tl 0.750 0.750 0.750
Sn 0.500 0.500 0.500
CELL_PARAMETERS angstrom
0.000 3.764 3.764
3.764 0.000 3.764
3.764 3.764 0.000
! Magnetization ... 0.00 μB per formula unit
! DFT formation energy ... -0.1291 eV per atom
! Total DFT energy (no corrections) ... -3.40610 Ry/atom
! Symmetry ... Fm-3m, No. 225

---

Entry 3:
! Na2TlSn2 SCAN PBEsol geometry; values from VASP
&SYSTEM
  ibrav = 0, nat = 10, ntyp = 3
/
ATOMIC_SPECIES
Na 22.99 Na.upf
Tl 204.38 Tl.upf
Sn 118.71 Sn.upf
ATOMIC_POSITIONS crystal
Na 0.186 0.314 0.000
Na 0.314 0.814 0.000
Na 0.686 0.186 0.000
Na 0.814 0.686 0.000
Tl 0.000 0.000 0.500
Tl 0.500 0.500 0.500
Sn 0.113 0.613 0.500
Sn 0.387 0.113 0.500
Sn 0.613 0.887 0.500
Sn 0.887 0.387 0.500
CELL_PARAMETERS angstrom
8.987 0.000 0.000
0.000 8.987 0.000
0.000 0.000 3.349
! Magnetization ... 0.00 μB per formula unit
! DFT formation energy ... -0.1403 eV per atom
! Total DFT energy (no corrections) ... -2.25394 Ry/atom
! Symmetry ... P4/mbm, No. 127

---

Entry 4:
! Na2Zn2Sn SCAN PBEsol geometry; values from VASP
&SYSTEM
  ibrav = 0, nat = 5, ntyp = 3
/
ATOMIC_SPECIES
Na 22.99 Na.upf
Zn 65.41 Zn.upf
Sn 118.71 Sn.upf
ATOMIC_POSITIONS crystal
Na 0.250 0.750 0.500
Na 0.750 0.250 0.500
Zn 0.090 0.090 0.000
Zn 0.910 0.910 0.000
Sn 0.500 0.500 0.000
CELL_PARAMETERS angstrom
-2.032 2.032 6.784
2.032 -2.032 6.784
2.032 2.032 -6.784
! Magnetization ... 0.00 μB per formula unit
! DFT formation energy ... 0.2015 eV per atom
! Total DFT energy (no corrections) ... -1.03448 Ry/atom
! Symmetry ... I4/mmm, No. 139

---

Entry 5:
! Na2Zn2Sn SCAN PBEsol geometry; values from VASP
&SYSTEM
  ibrav = 0, nat = 10, ntyp = 3
/
ATOMIC_SPECIES
Na 22.99 Na.upf
Zn 65.41 Zn.upf
Sn 118.71 Sn.upf
ATOMIC_POSITIONS crystal
Na 0.179 0.321 0.000
Na 0.321 0.821 0.000
Na 0.679 0.179 0.000
Na 0.821 0.679 0.000
Zn 0.126 0.626 0.500
Zn 0.374 0.126 0.500
Zn 0.626 0.874 0.500
Zn 0.874 0.374 0.500
Sn 0.000 0.000 0.500
Sn 0.500 0.500 0.500
CELL_PARAMETERS angstrom
6.847 0.000 0.000
0.000 6.847 0.000
0.000 0.000 4.893
! Magnetization ... 0.00 μB per formula unit
! DFT formation energy ... -0.0851 eV per atom
! Total DFT energy (no corrections) ... -1.05555 Ry/atom
! Symmetry ... P4/mbm, No. 127

---

Entry 6:
! NaSr3 SCAN PBEsol geometry; values from VASP
&SYSTEM
  ibrav = 0, nat = 8, ntyp = 2
/
ATOMIC_SPECIES
Na 22.99 Na.upf
Sr 87.62 Sr.upf
ATOMIC_POSITIONS crystal
Na 0.333 0.667 0.250
Na 0.667 0.333 0.750
Sr 0.167 0.334 0.750
Sr 0.167 0.833 0.750
Sr 0.334 0.167 0.250
Sr 0.666 0.833 0.750
Sr 0.833 0.167 0.250
Sr 0.833 0.666 0.250
CELL_PARAMETERS angstrom
8.203 0.000 0.000
-4.101 7.104 0.000
0.000 0.000 6.708
! Magnetization ... 0.32 μB per formula unit
! DFT formation energy ... 0.0476 eV per atom
! Total DFT energy (no corrections) ... -1.30185 Ry/atom
! Symmetry ... P6_3/mmc, No. 194

---

Entry 7:
! NaSrTa2Te SCAN PBEsol geometry; values from VASP
&SYSTEM
  ibrav = 0, nat = 5, ntyp = 4
/
ATOMIC_SPECIES
Na 22.99 Na.upf
Sr 87.62 Sr.upf
Ta 180.95 Ta.upf
Te 127.60 Te.upf
ATOMIC_POSITIONS crystal
Na 0.000 0.000 0.000
Sr 0.000 0.000 0.500
Ta 0.000 0.500 0.500
Ta 0.500 0.000 0.500
Te 0.500 0.500 0.000
CELL_PARAMETERS angstrom
5.032 0.000 0.000
0.000 5.032 0.000
0.000 0.000 5.114
! Magnetization ... 0.02 μB per formula unit
! Total DFT energy (no corrections) ... -2.71829 Ry/atom
! Symmetry ... P4/mmm, No. 123

---

Entry 8:
! Na2SrTe2 SCAN PBEsol geometry; values from VASP
&SYSTEM
  ibrav = 0, nat = 10, ntyp = 3
/
ATOMIC_SPECIES
Na 22.99 Na.upf
Sr 87.62 Sr.upf
Te 127.60 Te.upf
ATOMIC_POSITIONS crystal
Na 0.129 0.371 0.000
Na 0.371 0.871 0.000
Na 0.629 0.129 0.000
Na 0.871 0.629 0.000
Sr 0.000 0.000 0.500
Sr 0.500 0.500 0.500
Te 0.174 0.674 0.500
Te 0.326 0.174 0.500
Te 0.674 0.826 0.500
Te 0.826 0.326 0.500
CELL_PARAMETERS angstrom
8.674 0.000 0.000
0.000 8.674 0.000
0.000 0.000 4.370
! Magnetization ... 0.00 μB per formula unit
! Total DFT energy (no corrections) ... -1.62858 Ry/atom
! Symmetry ... P4/mbm, No. 127

---

Entry 9:
! NaSr2Ti SCAN PBEsol geometry; values from VASP
&SYSTEM
  ibrav = 0, nat = 4, ntyp = 3
/
ATOMIC_SPECIES
Na 22.99 Na.upf
Sr 87.62 Sr.upf
Ti 47.87 Ti.upf
ATOMIC_POSITIONS crystal
Na 0.000 0.000 0.000
Sr 0.250 0.250 0.250
Sr 0.750 0.750 0.750
Ti 0.500 0.500 0.500
CELL_PARAMETERS angstrom
0.000 4.181 4.181
4.181 0.000 4.181
4.181 4.181 0.000
! Magnetization ... 3.38 μB per formula unit
! DFT formation energy ... 0.5049 eV per atom
! Total DFT energy (no corrections) ... -1.15349 Ry/atom
! Symmetry ... Fm-3m, No. 225

---

Entry 10:
! Na2SrTl2 SCAN PBEsol geometry; values from VASP
&SYSTEM
  ibrav = 0, nat = 5, ntyp = 3
/
ATOMIC_SPECIES
Na 22.99 Na.upf
Sr 87.62 Sr.upf
Tl 204.38 Tl.upf
ATOMIC_POSITIONS crystal
Na 0.250 0.750 0.500
Na 0.750 0.250 0.500
Sr 0.000 0.000 0.000
Tl 0.399 0.399 0.000
Tl 0.601 0.601 0.000
CELL_PARAMETERS angstrom
-2.236 2.236 7.717
2.236 -2.236 7.717
2.236 2.236 -7.717
! Magnetization ... 0.00 μB per formula unit
! DFT formation energy ... -0.3014 eV per atom
! Total DFT energy (no corrections) ... -2.60081 Ry/atom
! Symmetry ... I4/mmm, No. 139

---

Entry 11:
! NaSrTl2 SCAN PBEsol geometry; values from VASP
&SYSTEM
  ibrav = 0, nat = 4, ntyp = 3
/
ATOMIC_SPECIES
Na 22.99 Na.upf
Sr 87.62 Sr.upf
Tl 204.38 Tl.upf
ATOMIC_POSITIONS crystal
Na 0.000 0.000 0.000
Sr 0.500 0.500 0.500
Tl 0.250 0.250 0.250
Tl 0.750 0.750 0.750
CELL_PARAMETERS angstrom
0.000 3.875 3.875
3.875 0.000 3.875
3.875 3.875 0.000
! Magnetization ... 0.00 μB per formula unit
! DFT formation energy ... -0.4093 eV per atom
! Total DFT energy (no corrections) ... -3.17595 Ry/atom
! Symmetry ... Fm-3m, No. 225

---

Entry 12:
! Na2SrY SCAN PBEsol geometry; values from VASP
&SYSTEM
  ibrav = 0, nat = 4, ntyp = 3
/
ATOMIC_SPECIES
Na 22.99 Na.upf
Sr 87.62 Sr.upf
Y 88.91 Y.upf
ATOMIC_POSITIONS crystal
Na 0.250 0.250 0.250
Na 0.750 0.750 0.750
Sr 0.000 0.000 0.000
Y 0.500 0.500 0.500
CELL_PARAMETERS angstrom
0.000 4.196 4.196
4.196 0.000 4.196
4.196 4.196 0.000
! Magnetization ... 0.30 μB per formula unit
! DFT formation energy ... 0.3122 eV per atom
! Total DFT energy (no corrections) ... -1.05286 Ry/atom
! Symmetry ... Fm-3m, No. 225

---

Entry 13:
! NaSrY3 SCAN PBEsol geometry; values from VASP
&SYSTEM
  ibrav = 0, nat = 5, ntyp = 3
/
ATOMIC_SPECIES
Na 22.99 Na.upf
Sr 87.62 Sr.upf
Y 88.91 Y.upf
ATOMIC_POSITIONS crystal
Na 0.000 0.000 0.000
Sr 0.500 0.500 0.500
Y 0.000 0.500 0.500
Y 0.500 0.000 0.500
Y 0.500 0.500 0.000
CELL_PARAMETERS angstrom
5.723 0.000 0.000
0.000 5.723 0.000
0.000 0.000 5.723
! Magnetization ... 0.00 μB per formula unit
! DFT formation energy ... 1.0507 eV per atom
! Total DFT energy (no corrections) ... -1.54002 Ry/atom
! Symmetry ... Pm-3m, No. 221

---

Entry 14:
! Na3SrY SCAN PBEsol geometry; values from VASP
&SYSTEM
  ibrav = 0, nat = 5, ntyp = 3
/
ATOMIC_SPECIES
Na 22.99 Na.upf
Sr 87.62 Sr.upf
Y 88.91 Y.upf
ATOMIC_POSITIONS crystal
Na 0.000 0.000 0.500
Na 0.000 0.500 0.000
Na 0.500 0.000 0.000
Sr 0.500 0.500 0.500
Y 0.000 0.000 0.000
CELL_PARAMETERS angstrom
6.172 0.000 0.000
0.000 6.172 0.000
0.000 0.000 6.172
! Magnetization ... 0.00 μB per formula unit
! DFT formation energy ... 0.7470 eV per atom
! Total DFT energy (no corrections) ... -0.86770 Ry/atom
! Symmetry ... Pm-3m, No. 221

---

Entry 15:
! NaTa3Te SCAN PBEsol geometry; values from VASP
&SYSTEM
  ibrav = 0, nat = 5, ntyp = 3
/
ATOMIC_SPECIES
Na 22.99 Na.upf
Ta 180.95 Ta.upf
Te 127.60 Te.upf
ATOMIC_POSITIONS crystal
Na 0.000 0.000 0.000
Ta 0.000 0.000 0.500
Ta 0.000 0.500 0.000
Ta 0.500 0.000 0.000
Te 0.500 0.500 0.500
CELL_PARAMETERS angstrom
4.687 0.000 0.000
0.000 4.687 0.000
0.000 0.000 4.687
! Magnetization ... 0.00 μB per formula unit
! Total DFT energy (no corrections) ... -3.37763 Ry/atom
! Symmetry ... Pm-3m, No. 221

---

Entry 16:
! Na2TaTi SCAN PBEsol geometry; values from VASP
&SYSTEM
  ibrav = 0, nat = 4, ntyp = 3
/
ATOMIC_SPECIES
Na 22.99 Na.upf
Ta 180.95 Ta.upf
Ti 47.87 Ti.upf
ATOMIC_POSITIONS crystal
Na 0.250 0.250 0.250
Na 0.750 0.750 0.750
Ta 0.000 0.000 0.000
Ti 0.500 0.500 0.500
CELL_PARAMETERS angstrom
0.000 3.410 3.410
3.410 0.000 3.410
3.410 3.410 0.000
! Magnetization ... 0.35 μB per formula unit
! DFT formation energy ... 1.4982 eV per atom
! Total DFT energy (no corrections) ... -1.56277 Ry/atom
! Symmetry ... Fm-3m, No. 225

---

Entry 17:
! Na2TaW SCAN PBEsol geometry; values from VASP
&SYSTEM
  ibrav = 0, nat = 4, ntyp = 3
/
ATOMIC_SPECIES
Na 22.99 Na.upf
Ta 180.95 Ta.upf
W 183.84 W.upf
ATOMIC_POSITIONS crystal
Na 0.250 0.250 0.250
Na 0.750 0.750 0.750
Ta 0.000 0.000 0.000
W 0.500 0.500 0.500
CELL_PARAMETERS angstrom
0.000 3.323 3.323
3.323 0.000 3.323
3.323 3.323 0.000
! Magnetization ... 1.03 μB per formula unit
! DFT formation energy ... 2.0522 eV per atom
! Total DFT energy (no corrections) ... -2.50800 Ry/atom
! Symmetry ... Fm-3m, No. 225

---

Entry 18:
! NaTb3 SCAN PBEsol geometry; values from VASP
&SYSTEM
  ibrav = 0, nat = 4, ntyp = 2
/
ATOMIC_SPECIES
Na 22.99 Na.upf
Tb 158.93 Tb.upf
ATOMIC_POSITIONS crystal
Na 0.000 0.000 0.000
Tb 0.250 0.250 0.250
Tb 0.500 0.500 0.500
Tb 0.750 0.750 0.750
CELL_PARAMETERS angstrom
0.000 3.923 3.923
3.923 0.000 3.923
3.923 3.923 0.000
! Magnetization ... 0.00 μB per formula unit
! DFT formation energy ... 0.2996 eV per atom
! Total DFT energy (no corrections) ... -2.63316 Ry/atom
! Symmetry ... Fm-3m, No. 225

---

Entry 19:
! NaTlTc2 SCAN PBEsol geometry; values from VASP
&SYSTEM
  ibrav = 0, nat = 4, ntyp = 3
/
ATOMIC_SPECIES
Na 22.99 Na.upf
Tl 204.38 Tl.upf
Tc 98.00 Tc.upf
ATOMIC_POSITIONS crystal
Na 0.000 0.000 0.000
Tl 0.500 0.500 0.500
Tc 0.250 0.250 0.250
Tc 0.750 0.750 0.750
CELL_PARAMETERS angstrom
0.000 3.269 3.269
3.269 0.000 3.269
3.269 3.269 0.000
! Magnetization ... 4.50 μB per formula unit
! DFT formation energy ... 1.0345 eV per atom
! Total DFT energy (no corrections) ... -2.61940 Ry/atom
! Symmetry ... Fm-3m, No. 225

---

Entry 20:
! NaTe3 SCAN PBEsol geometry; values from VASP
&SYSTEM
  ibrav = 0, nat = 48, ntyp = 2
/
ATOMIC_SPECIES
Na 22.99 Na.upf
Te 127.60 Te.upf
ATOMIC_POSITIONS crystal
Na 0.000 0.000 0.125
Na 0.000 0.000 0.375
Na 0.000 0.000 0.625
Na 0.000 0.000 0.875
Na 0.333 0.667 0.208
Na 0.333 0.667 0.459
Na 0.333 0.667 0.708
Na 0.333 0.667 0.959
Na 0.667 0.333 0.041
Na 0.667 0.333 0.292
Na 0.667 0.333 0.541
Na 0.667 0.333 0.792
Te 0.006 0.486 0.123
Te 0.006 0.520 0.623
Te 0.140 0.336 0.293
Te 0.140 0.804 0.793
Te 0.161 0.331 0.041
Te 0.161 0.831 0.541
Te 0.169 0.331 0.541
Te 0.169 0.839 0.041
Te 0.196 0.336 0.793
Te 0.196 0.860 0.293
Te 0.331 0.161 0.459
Te 0.331 0.169 0.959
Te 0.336 0.140 0.207
Te 0.336 0.196 0.707
Te 0.480 0.486 0.623
Te 0.480 0.994 0.123
Te 0.486 0.006 0.377
Te 0.486 0.480 0.877
Te 0.514 0.520 0.123
Te 0.514 0.994 0.623
Te 0.520 0.006 0.877
Te 0.520 0.514 0.377
Te 0.664 0.804 0.293
Te 0.664 0.860 0.793
Te 0.669 0.831 0.041
Te 0.669 0.839 0.541
Te 0.804 0.140 0.707
Te 0.804 0.664 0.207
Te 0.831 0.161 0.959
Te 0.831 0.669 0.459
Te 0.839 0.169 0.459
Te 0.839 0.669 0.959
Te 0.860 0.196 0.207
Te 0.860 0.664 0.707
Te 0.994 0.480 0.377
Te 0.994 0.514 0.877
CELL_PARAMETERS angstrom
8.883 0.000 0.000
-4.441 7.693 0.000
0.000 0.000 21.761
! Magnetization ... 0.00 μB per formula unit
! Total DFT energy (no corrections) ... -2.16520 Ry/atom
! Symmetry ... P-3c1, No. 165

---

Entry 21:
! NaTe SCAN PBEsol geometry; values from VASP
&SYSTEM
  ibrav = 0, nat = 48, ntyp = 2
/
ATOMIC_SPECIES
Na 22.99 Na.upf
Te 127.60 Te.upf
ATOMIC_POSITIONS crystal
Na 0.029 0.181 0.061
Na 0.029 0.819 0.561
Na 0.113 0.327 0.743
Na 0.113 0.673 0.243
Na 0.190 0.015 0.276
Na 0.190 0.985 0.776
Na 0.310 0.485 0.776
Na 0.310 0.515 0.276
Na 0.387 0.173 0.243
Na 0.387 0.827 0.743
Na 0.471 0.319 0.561
Na 0.471 0.681 0.061
Na 0.529 0.319 0.939
Na 0.529 0.681 0.439
Na 0.613 0.173 0.257
Na 0.613 0.827 0.757
Na 0.690 0.485 0.724
Na 0.690 0.515 0.224
Na 0.810 0.015 0.224
Na 0.810 0.985 0.724
Na 0.887 0.327 0.757
Na 0.887 0.673 0.257
Na 0.971 0.181 0.439
Na 0.971 0.819 0.939
Te 0.000 0.072 0.750
Te 0.000 0.500 0.000
Te 0.000 0.500 0.500
Te 0.000 0.928 0.250
Te 0.133 0.361 0.303
Te 0.133 0.639 0.803
Te 0.246 0.248 0.012
Te 0.246 0.752 0.512
Te 0.254 0.252 0.512
Te 0.254 0.748 0.012
Te 0.367 0.139 0.803
Te 0.367 0.861 0.303
Te 0.500 0.000 0.000
Te 0.500 0.000 0.500
Te 0.500 0.428 0.250
Te 0.500 0.572 0.750
Te 0.633 0.139 0.697
Te 0.633 0.861 0.197
Te 0.746 0.252 0.988
Te 0.746 0.748 0.488
Te 0.754 0.248 0.488
Te 0.754 0.752 0.988
Te 0.867 0.361 0.197
Te 0.867 0.639 0.697
CELL_PARAMETERS angstrom
15.739 0.000 0.000
0.000 9.972 0.000
0.000 0.000 8.965
! Magnetization ... 0.00 μB per formula unit
! Total DFT energy (no corrections) ... -1.58479 Ry/atom
! Symmetry ... Pbcn, No. 60

---

Entry 22:
! Na2Te SCAN PBEsol geometry; values from VASP
&SYSTEM
  ibrav = 0, nat = 3, ntyp = 2
/
ATOMIC_SPECIES
Na 22.99 Na.upf
Te 127.60 Te.upf
ATOMIC_POSITIONS crystal
Na 0.250 0.250 0.250
Na 0.750 0.750 0.750
Te 0.000 0.000 0.000
CELL_PARAMETERS angstrom
0.000 3.624 3.624
3.624 0.000 3.624
3.624 3.624 0.000
! Magnetization ... 0.00 μB per formula unit
! Total DFT energy (no corrections) ... -1.19828 Ry/atom
! Symmetry ... Fm-3m, No. 225

---

Entry 23:
! NaTlTe2 SCAN PBEsol geometry; values from VASP
&SYSTEM
  ibrav = 0, nat = 4, ntyp = 3
/
ATOMIC_SPECIES
Na 22.99 Na.upf
Tl 204.38 Tl.upf
Te 127.60 Te.upf
ATOMIC_POSITIONS crystal
Na 0.000 0.000 0.000
Tl 0.500 0.500 0.500
Te 0.404 0.404 0.404
Te 0.596 0.596 0.596
CELL_PARAMETERS angstrom
1.696 0.979 11.621
-1.696 0.979 11.621
0.000 -1.959 11.621
! Magnetization ... 0.00 μB per formula unit
! Total DFT energy (no corrections) ... -2.79301 Ry/atom
! Symmetry ... R-3m, No. 166